Compound: MnPBr4
Source: Alexandria
Functional: PBE
Structure: relaxed

Calculated values
Volume ... 174.75 Å³ per cell
Total DFT energy (no corrections) ... -2.4228 eV per atom
Magnetization ... 6.43 μB per cell
Space-group type ... No. 216

Cell lengths 6.2755, 6.2755, 6.2755 Å; angles 60.00, 60.00, 60.00 degrees
Each line ends with the local moment (μB).
Atoms (fractional coordinates):
Br 0.3756 0.3756 0.8733  -0.17
Br 0.3756 0.3756 0.3756  -0.17
Br 0.3756 0.8733 0.3756  -0.17
Br 0.8733 0.3756 0.3756  -0.17
Mn 0.7500 0.7500 0.7500  4.51
P 0.0000 0.0000 0.0000  0.99

Compound: MnP3Br
Source: Alexandria
Functional: PBE
Structure: relaxed

Calculated values
Volume ... 87.55 Å³ per cell
Magnetization ... 0.00 μB per cell
Energy relative to the lowest polymorph listed for this composition ... 0 meV per atom
Space-group type ... No. 221

Cell lengths 4.4403, 4.4403, 4.4403 Å; angles 90.00, 90.00, 90.00 degrees
Atoms (fractional coordinates):
P 0.0000 0.0000 0.5000
P 0.5000 0.0000 0.0000
P 0.0000 0.5000 0.0000
Br 0.5000 0.5000 0.5000
Mn 0.0000 0.0000 0.0000

Compound: MnP4Br
Source: Alexandria
Functional: PBE
Structure: relaxed

Calculated values
Volume ... 147.57 Å³ per cell
Total DFT energy (no corrections) ... -4.9790 eV per atom
Magnetization ... 5.87 μB per cell
Space-group type ... No. 216

Cell lengths 5.9316, 5.9316, 5.9316 Å; angles 60.00, 60.00, 60.00 degrees
Each line ends with the local moment (μB).
Atoms (fractional coordinates):
P 0.7793 0.4069 0.4069  0.03
P 0.4069 0.4069 0.4069  0.03
P 0.4069 0.4069 0.7793  0.03
P 0.4069 0.7793 0.4069  0.03
Br 0.7500 0.7500 0.7500  0.09
Mn 0.0000 0.0000 0.0000  4.76

Compound: MnP3Br
Source: Alexandria
Functional: PBE
Structure: relaxed

Calculated values
Volume ... 105.72 Å³ per cell
Magnetization ... 0.03 μB per cell
Energy relative to the lowest polymorph listed for this composition ... 1565 meV per atom
Space-group type ... No. 221

Cell lengths 4.7285, 4.7285, 4.7285 Å; angles 90.00, 90.00, 90.00 degrees
Each line ends with the local moment (μB).
Atoms (fractional coordinates):
P 0.0000 0.5000 0.0000  0.02
P 0.5000 0.0000 0.0000  -0.01
P 0.0000 0.0000 0.5000  0.02
Mn 0.5000 0.5000 0.5000  -0.09
Br 0.0000 0.0000 0.0000  0.01